[1]
Mo2PdClF: relaxed, GGA+U.

* VASP energy: -19.96 eV for the cell shown
* total magnetization: 9.85 μB/cell
* DOS(E_F): 0.86 states/eV per cell
* volume: 123 Å³/cell
* symmetry: P4/mmm (123)

Cell lengths 5.230, 4.486, 5.230 Å; angles 90.00, 90.00, 90.00 degrees
Each line ends with the local moment (μB).
Sites, in units of the cell vectors:
Mo  0.500  0.000  0.000  4.09
Mo  0.000  0.000  0.500  4.14
F  0.500  0.500  0.500  0.11
Pd  0.000  0.500  0.000  0.04
Cl  0.000  0.000  0.000  -0.03

=====

[2]
Rb2MoCl6F: relaxed, GGA+U.

* VASP energy: -34.31 eV for the cell shown
* total magnetization: 1.66 μB/cell
* DOS(E_F): 4.08 states/eV per cell
* volume: 291 Å³/cell
* symmetry: I4/mmm (139)

Cell lengths 7.691, 7.691, 7.334 Å; angles 58.38, 58.38, 90.00 degrees
Each line ends with the local moment (μB).
Sites, in units of the cell vectors:
F  0.500  0.500  0.000  0.20
Rb  0.750  0.250  0.500  0.00
Rb  0.250  0.750  0.500  0.00
Cl  0.778  0.778  0.000  -0.01
Cl  0.239  0.239  0.523  -0.03
Cl  0.761  0.761  0.477  -0.03
Cl  0.222  0.222  0.000  -0.01
Cl  0.778  0.222  0.000  -0.01
Cl  0.222  0.778  0.000  -0.01
Mo  0.000  0.000  0.000  1.43

=====

Taking the records one at a time from the top gives mass density values of 4.8; 2.8 g/cm³.